1.
A plane-wave DFT calculation with PBEsol was carried out for a relaxed structure of TeIrPtI2.

Lattice parameters (Å, degrees): 5.1941 5.2482 5.2482 90.00 90.00 90.00
Last column: nearest neighbours and their distance in Å.
Fractional coordinates of all 5 atoms:
I (0.0000, 0.0000, 0.5000)  2 Pt 2.62
I (0.0000, 0.5000, 0.0000)  2 Pt 2.62
Ir (0.5000, 0.5000, 0.5000)  8 I 3.69, 4 Te 3.71
Te (0.5000, 0.0000, 0.0000)  2 Pt 2.60
Pt (0.0000, 0.0000, 0.0000)  2 Te 2.60, 4 I 2.62

Calculated values
Volume = 28.613 Å³/atom
Total energy = -17.12 eV per cell
Energy relative to the elements, uncorrected = 1345 meV per atom
N(E_F) = 7.512 states/eV/f.u.
Space-group type = P4/mmm

---

2.
A plane-wave DFT calculation with PBEsol was carried out for a relaxed structure of Rb3IrI.

Lattice parameters (Å, degrees): 6.0997 6.0997 6.0997 90.00 90.00 90.00
Last column: nearest neighbours and their distance in Å.
Fractional coordinates of all 5 atoms:
I (0.5000, 0.5000, 0.5000)  12 Rb 4.31
Ir (0.0000, 0.0000, 0.0000)  6 Rb 3.05
Rb (0.0000, 0.5000, 0.0000)  2 Ir 3.05
Rb (0.0000, 0.0000, 0.5000)  2 Ir 3.05
Rb (0.5000, 0.0000, 0.0000)  2 Ir 3.05

Calculated values
Volume = 45.390 Å³/atom
Total energy = -13.79 eV per cell
Energy relative to the elements, uncorrected = 175 meV per atom
N(E_F) = 1.718 states/eV/f.u.
Space-group type = Pm-3m
Energy above the lowest structure with this stoichiometry = 0 meV per atom

---

3.
A plane-wave DFT calculation with PBEsol was carried out for a relaxed structure of RbIrI2.

Lattice parameters (Å, degrees): 5.3862 5.3862 5.3862 60.00 60.00 60.00
Last column: nearest neighbours and their distance in Å.
Fractional coordinates of all 4 atoms:
I (0.2500, 0.2500, 0.2500)  4 Ir 3.30, 4 Rb 3.30
I (0.7500, 0.7500, 0.7500)  4 Rb 3.30, 4 Ir 3.30
Ir (0.5000, 0.5000, 0.5000)  8 I 3.30
Rb (0.0000, 0.0000, 0.0000)  8 I 3.30

Calculated values
Volume = 27.623 Å³/atom
Total energy = -12.11 eV per cell
Energy relative to the elements, uncorrected = 567 meV per atom
N(E_F) = 1.911 states/eV/f.u.
Space-group type = Fm-3m